DFT (PBE) results for a geometry-optimized Rb4TmPu3Se8 structure.

```
Rb4TmPu3Se8
1.0
7.4733 -4.2988 0.0000
7.4733 4.2988 0.0000
-4.9755 0.0000 7.9479
Rb Tm Pu Se
4 1 3 8
direct
0.0000 0.0000 0.0000 Rb
0.0000 0.5000 0.0000 Rb
0.5000 0.0000 0.0000 Rb
0.5000 0.5000 0.0000 Rb
0.0000 0.0000 0.5000 Tm
0.0000 0.5000 0.5000 Pu
0.5000 0.0000 0.5000 Pu
0.5000 0.5000 0.5000 Pu
0.2282 0.2282 0.6933 Se
0.2280 0.7389 0.6947 Se
0.2611 0.7720 0.3053 Se
0.2674 0.2674 0.3048 Se
0.7326 0.7326 0.6952 Se
0.7389 0.2280 0.6947 Se
0.7720 0.2611 0.3053 Se
0.7718 0.7718 0.3067 Se
```

Summary:
raw total energy	-6.44	eV per atom
space-group type	C2/m
D(E_F)	36.7	states/eV/f.u.
formation energy (no corrections)	-1488	meV per atom